VASP calculation (PBEsol) on CsBe2GaFe after structural relaxation.

Calculated values
Formation energy: 494.6 kJ/mol of formula units
Calculated density: 4.69 Mg/m³
Space group: P4/mmm (123)
VASP energy: -3.22 eV/atom

Cell and atoms, written as extended XYZ:
```
5
Lattice="4.4442 0.0000 0.0000 0.0000 4.4442 0.0000 0.0000 0.0000 4.9618" Properties=species:S:1:pos:R:3 pbc="T T T"
Cs 0.0000 0.0000 0.0000
Be 0.0000 2.2221 2.4809
Be 2.2221 0.0000 2.4809
Ga 2.2221 2.2221 2.4809
Fe 2.2221 2.2221 0.0000
```

***

VASP calculation (PBEsol) on TaTe2Pt after structural relaxation.

Calculated values
Energy relative to the elements, uncorrected: 0.445 eV per atom
Calculated density: 12.99 Mg/m³
Space group: P2/m (10)
VASP energy: -6.20 eV/atom

Cell and atoms, written as extended XYZ:
```
4
Lattice="3.0017 0.0000 0.0000 0.0000 4.9368 0.0000 -0.3019 0.0000 5.4441" Properties=species:S:1:pos:R:3 pbc="T T T"
Ta 0.0000 0.0000 0.0000
Te 0.4716 2.4684 4.0752
Te 2.2281 2.4684 1.3690
Pt 1.3499 0.0000 2.7221
```